# 1
Density functional theory data (PBE) for LiThCd4 after structural relaxation.

The structure in POSCAR format:
```
LiThCd4
1.0
4.6863 0.0000 0.0000
0.0000 7.7193 0.0000
-2.3235 0.0000 7.9132
Li Th Cd
2 2 8
Direct
0.1433 0.2500 0.2862
0.8567 0.7500 0.7138
0.1800 0.7500 0.3606
0.8200 0.2500 0.6394
0.0000 0.0000 0.0000
0.0000 0.5000 0.0000
0.3555 0.5408 0.7109
0.3555 0.9592 0.7109
0.4780 0.2500 0.9564
0.5220 0.7500 0.0436
0.6445 0.0408 0.2891
0.6445 0.4592 0.2891
```

Energy of formation from the pure elements: -0.09 eV per atom

# 2
Density functional theory data (PBE) for LiThCd after structural relaxation.

The structure in POSCAR format:
```
LiThCd
1.0
-1.6652 1.6652 6.4416
1.6652 -1.6652 6.4416
1.6652 1.6652 -6.4416
Li Th Cd
1 1 1
Direct
0.0000 0.0000 0.0000
0.6904 0.6904 0.0000
0.3817 0.3817 0.0000
```

Energy of formation from the pure elements: -0.02 eV per atom

# 3
Density functional theory data (PBE) for LiTh2Cd after structural relaxation.

The structure in POSCAR format:
```
LiTh2Cd
1.0
4.7863 0.0000 0.0000
0.0000 4.7863 0.0000
0.0000 0.0000 4.6874
Li Th Cd
1 2 1
Direct
0.0000 0.0000 0.0000
0.0000 0.5000 0.5000
0.5000 0.0000 0.5000
0.5000 0.5000 0.0000
```

Energy of formation from the pure elements: 0.06 eV per atom

| no. | ΔE to the lowest computed polymorph (meV/atom) | magnetization (μB/atom) |
| --- | --- | --- |
| 1 | 70.3 | 0.00 |
| 2 | 101.3 | 0.00 |
| 3 | 0.0 | 0.00 |